Entry 1:
CsBaI3 | PBE-GGA | relaxed

Cell lengths 6.1123, 6.1123, 19.0517 Å; angles 90.00, 90.00, 120.00 degrees
Space group P6_3/mmc (No. 194)
One atom of each set of equivalent atoms:
Cs: 0.3333 0.6667 0.2500 x2
Ba: 0.0000 0.0000 0.0000 x2
I: 0.0000 0.0000 0.2500 x2
I: 0.3333 0.6667 0.0532 x4

Values from the calculation:
theoretical density: 3.51 g/cm3
formation energy without anion corrections: -1.552 eV/atom
crystal system: hexagonal
density of states at the Fermi level: 0.00 states/eV/cell


Entry 2:
CsBaI3 | PBE-GGA | relaxed

Cell lengths 5.283, 6.350, 9.306 Å; angles 93.65, 90.06, 114.57 degrees
Space group P1 (No. 1)
One atom of each set of equivalent atoms:
Cs: 0.000 0.000 0.000 x1
Ba: 0.289 0.573 0.481 x1
I: 0.296 0.592 0.843 x1
I: 0.693 0.381 0.248 x1
I: 0.990 0.976 0.534 x1

Values from the calculation:
theoretical density: 3.82 g/cm3
formation energy without anion corrections: -1.656 eV/atom
crystal system: triclinic
density of states at the Fermi level: 0.00 states/eV/cell